Material: Tm2Bi2S7
Method: DFT, PBE
State: relaxed

Cell: 4.053 15.067 8.928 Å, 90.00 90.00 90.00°
Space group Imm2 (No. 44)
One atom of each set of equivalent atoms:
Tm 0.000 0.000 0.000
Tm 0.000 0.500 0.013
Bi 0.000 0.241 0.334
S 0.000 0.121 0.542
S 0.000 0.185 0.975
S 0.000 0.430 0.699
S 0.000 0.500 0.311

The uncorrected formation energy is -0.99 eV/atom. The calculation puts the raw total energy at -112.97 eV per cell.



Material: Pm8DyEr6
Method: DFT, PBE
State: relaxed

Cell: 9.3881 9.3881 6.5178 Å, 90.00 90.00 120.00°
Space group P-3 (No. 147)
One atom of each set of equivalent atoms:
Pm 0.0370 0.7504 0.3329
Pm 0.3333 0.6667 0.3786
Dy 0.0000 0.0000 0.0000
Er 0.0945 0.6558 0.8412

The calculation puts the energy of formation from the pure elements at 178 meV/atom. The calculation puts the raw total energy at -67.31 eV per cell. As for the offset from the most stable computed form: 4.9 kJ per mole of atoms.



Material: Ce2DyHoIn4
Method: DFT, PBE
State: relaxed

Cell: 5.3847 5.3847 26.4128 Å, 90.00 90.00 120.00°
Space group R-3m (No. 166, hexagonal axes)
One atom of each set of equivalent atoms:
Ce 0.0000 0.0000 0.2499
Dy 0.0000 0.0000 0.0000
Ho 0.0000 0.0000 0.5000
In 0.0000 0.0000 0.1251
In 0.0000 0.0000 0.3752

The calculation puts the energy of formation from the pure elements at -398 meV/atom. The calculation puts the raw total energy at -105.55 eV per cell.



Material: BaGaHPt2
Method: DFT, PBE
State: relaxed

Cell: 4.207 11.609 7.436 Å, 90.00 90.00 90.00°
Space group Cmcm (No. 63)
One atom of each set of equivalent atoms:
Ba 0.000 0.051 0.250
Ga 0.000 0.228 0.750
H 0.000 0.500 0.000
Pt 0.000 0.338 0.058

The calculation puts the raw total energy at -94.44 eV per cell.



Material: U2Si2MoRu5
Method: DFT, PBE
State: relaxed

Cell: 9.667 9.667 3.489 Å, 90.00 90.00 90.00°
Space group P4/mbm (No. 127)
One atom of each set of equivalent atoms:
U 0.177 0.323 0.000
Si 0.121 0.621 0.000
Mo 0.000 0.000 0.000
Ru 0.000 0.500 0.500
Ru 0.075 0.790 0.500

The uncorrected formation energy is -0.27 eV/atom. The calculation puts the raw total energy at -186.65 eV per cell.



Material: Ca2Zn4Ni
Method: DFT, PBE
State: relaxed

Cell: 4.598 4.598 15.194 Å, 90.00 90.00 90.00°
Space group I4/mmm (No. 139)
One atom of each set of equivalent atoms:
Ca 0.000 0.000 0.145
Zn 0.000 0.000 0.346
Zn 0.000 0.500 0.000
Ni 0.000 0.000 0.500

The calculation puts the energy of formation from the pure elements at -99 meV/atom. The calculation puts the raw total energy at -31.15 eV per cell.



Material: KScAgAu2
Method: DFT, PBE
State: relaxed

Cell: 5.295 5.295 5.417 Å, 90.00 90.00 90.00°
Space group P4/mmm (No. 123)
One atom of each set of equivalent atoms:
K 0.000 0.000 0.000
Sc 0.500 0.500 0.500
Ag 0.500 0.500 0.000
Au 0.000 0.500 0.500

The calculation puts the energy of formation from the pure elements at 46 meV/atom. The calculation puts the raw total energy at -16.60 eV per cell.



Material: HoBe3Pt3
Method: DFT, PBE
State: relaxed

Cell: 6.145 6.145 6.145 Å, 90.00 90.00 90.00°
Space group Pm-3n (No. 223)
One atom of each set of equivalent atoms:
Ho 0.000 0.000 0.000
Be 0.000 0.250 0.500
Pt 0.000 0.500 0.250

The calculation puts the energy of formation from the pure elements at -488 meV/atom. The calculation puts the raw total energy at -74.58 eV per cell.



Material: Ca3PaSn12
Method: DFT, PBE
State: relaxed

Cell: 4.709 4.709 19.086 Å, 90.00 90.00 90.00°
Space group P4/mmm (No. 123)
One atom of each set of equivalent atoms:
Ca 0.000 0.000 0.000
Ca 0.000 0.000 0.256
Pa 0.000 0.000 0.500
Sn 0.000 0.500 0.126
Sn 0.000 0.500 0.378
Sn 0.500 0.500 0.000
Sn 0.500 0.500 0.251
Sn 0.500 0.500 0.500

The calculation puts the energy of formation from the pure elements at -355 meV/atom. The calculation puts the raw total energy at -69.21 eV per cell.



Material: TlCu2Ag
Method: DFT, PBE
State: relaxed

Cell: 3.187 3.187 6.778 Å, 90.00 90.00 90.00°
Space group P4mm (No. 99)
One atom of each set of equivalent atoms:
Tl 0.000 0.000 0.000
Cu 0.000 0.000 0.555
Cu 0.500 0.500 0.724
Ag 0.500 0.500 0.323

The calculation puts the energy of formation from the pure elements at 188 meV/atom. The calculation puts the raw total energy at -12.66 eV per cell. As for the offset from the most stable computed form: 0.0 kJ per mole of atoms.



Material: CsAsOs2O8
Method: DFT, PBE
State: relaxed

Cell: 5.2787 5.2787 29.8352 Å, 90.00 90.00 120.00°
Space group R32 (No. 155, hexagonal axes)
One atom of each set of equivalent atoms:
Cs 0.0000 0.0000 0.0000
As 0.0000 0.0000 0.5000
Os 0.0000 0.0000 0.2366
O 0.0000 0.0000 0.2959
O 0.0014 0.3732 0.1205

The uncorrected formation energy is -0.91 eV/atom. The calculation puts the raw total energy at -235.79 eV per cell.



Material: AcLaIO6
Method: DFT, PBE
State: relaxed

Cell: 6.0186 6.0186 9.5723 Å, 90.00 90.00 120.00°
Space group P-31c (No. 163)
One atom of each set of equivalent atoms:
Ac 0.3333 0.6667 0.2500
La 0.0000 0.0000 0.0000
I 0.3333 0.6667 0.7500
O 0.0614 0.3773 0.6329

The uncorrected formation energy is -1.97 eV/atom. The calculation puts the raw total energy at -116.20 eV per cell.



Material: RbMnTe2
Method: DFT, PBE
State: relaxed

Cell: 8.239 3.988 17.524 Å, 90.00 90.00 90.00°
Space group Pnma (No. 62)
One atom of each set of equivalent atoms:
Rb 0.020 0.250 0.148
Mn 0.012 0.250 0.409
Te 0.103 0.250 0.680
Te 0.206 0.750 0.465

The uncorrected formation energy is -0.54 eV/atom. The calculation puts the raw total energy at -74.28 eV per cell.



Material: K4Ac3PuSe8
Method: DFT, PBE
State: relaxed

Cell: 9.0458 9.0458 23.0966 Å, 90.00 90.00 120.00°
Space group R-3m (No. 166, hexagonal axes)
One atom of each set of equivalent atoms:
K 0.0000 0.0000 0.0000
K 0.0000 0.5000 0.0000
Ac 0.0000 0.5000 0.5000
Pu 0.0000 0.0000 0.5000
Se 0.0000 0.0000 0.2402
Se 0.0127 0.5064 0.2374

The uncorrected formation energy is -1.71 eV/atom. The calculation puts the raw total energy at -258.78 eV per cell.



Material: TbBe2BRu2
Method: DFT, PBE
State: relaxed

Cell: 4.104 4.104 5.088 Å, 90.00 90.00 90.00°
Space group P4/mmm (No. 123)
One atom of each set of equivalent atoms:
Tb 0.000 0.000 0.000
Be 0.500 0.500 0.269
B 0.000 0.000 0.500
Ru 0.000 0.500 0.500

The calculation puts the energy of formation from the pure elements at -400 meV/atom. The calculation puts the raw total energy at -39.71 eV per cell.



Material: Ti3RhC
Method: DFT, PBE
State: relaxed

Cell: 4.145 4.145 4.145 Å, 90.00 90.00 90.00°
Space group Pm-3m (No. 221)
One atom of each set of equivalent atoms:
Ti 0.000 0.000 0.500
Rh 0.500 0.500 0.500
C 0.000 0.000 0.000

The calculation puts the energy of formation from the pure elements at -546 meV/atom. The calculation puts the raw total energy at -42.99 eV per cell. As for the offset from the most stable computed form: 13.0 kJ per mole of atoms.



Material: TaAl2N
Method: DFT, PBE
State: relaxed

Cell: 6.508 6.508 5.079 Å, 90.00 90.00 90.00°
Space group I-42d (No. 122)
One atom of each set of equivalent atoms:
Ta 0.000 0.000 0.000
Al 0.159 0.250 0.625
N 0.000 0.000 0.500

The uncorrected formation energy is 0.05 eV/atom. The calculation puts the raw total energy at -109.93 eV per cell.



Material: TiGaMoPt
Method: DFT, PBE
State: relaxed

Cell: 6.256 6.256 6.256 Å, 90.00 90.00 90.00°
Space group F-43m (No. 216)
One atom of each set of equivalent atoms:
Ti 0.000 0.000 0.000
Ga 0.000 0.000 0.500
Mo 0.250 0.250 0.750
Pt 0.250 0.250 0.250

The calculation puts the energy of formation from the pure elements at -421 meV/atom. The calculation puts the raw total energy at -117.91 eV per cell.



Material: TbGa4Sn
Method: DFT, PBE
State: relaxed

Cell: 7.903 7.903 7.903 Å, 90.00 90.00 90.00°
Space group F-43m (No. 216)
One atom of each set of equivalent atoms:
Tb 0.000 0.000 0.000
Ga 0.125 0.125 0.375
Sn 0.250 0.250 0.750

The calculation puts the energy of formation from the pure elements at -253 meV/atom. The calculation puts the raw total energy at -89.03 eV per cell.



Material: SmPaMo4
Method: DFT, PBE
State: relaxed

Cell: 7.822 7.822 7.822 Å, 90.00 90.00 90.00°
Space group F-43m (No. 216)
One atom of each set of equivalent atoms:
Sm 0.000 0.000 0.000
Pa 0.250 0.250 0.250
Mo 0.125 0.125 0.625

The calculation puts the energy of formation from the pure elements at 158 meV/atom. The calculation puts the raw total energy at -226.37 eV per cell.